VASP calculation (GGA-PBE) on a geometry-optimized KP3Cl structure.

```
KP3Cl
1.0
-0.5650 3.8681 2.9432
-2.4388 -2.7887 3.1969
4.2045 -1.0978 2.2498
P K Cl
3 1 1
direct
0.0000 0.5000 0.0000
0.0000 0.0000 0.5000
0.5000 0.0000 0.0000
0.5000 0.5000 0.5000
0.0000 0.0000 0.0000
```

Uncorrected formation energy   1.0005 eV/atom
Total magnetic moment   0.003 μB/f.u.
Total energy   -2.834 eV/atom
Space-group type   No. 221